Entry P
BeAu2S (PBE-GGA, relaxed); total magnetization = 0.00 μB per atom
1.0
-2.126 2.126 7.824
2.126 -2.126 7.824
2.126 2.126 -7.824
Be Au S
2 4 2
Direct
0.000 0.000 0.000
0.750 0.250 0.500
0.097 0.625 0.972
0.375 0.347 0.472
0.653 0.125 0.028
0.875 0.903 0.528
0.250 0.750 0.500
0.500 0.500 0.000

=====

Entry Q
BeAu2S (PBE-GGA, relaxed); total magnetization = 0.00 μB per atom
1.0
0.000 3.162 3.162
3.162 0.000 3.162
3.162 3.162 0.000
Be Au S
1 2 1
Direct
0.000 0.000 0.000
0.250 0.250 0.250
0.750 0.750 0.750
0.500 0.500 0.500

=====

The energy of each structure relative to the most stable one, in eV/atom, is as follows: entry P 0.000; entry Q 0.147.

=====

Entry P
BeZnAu2S (PBE-GGA, relaxed); total magnetization = 0.00 μB per atom
1.0
-1.404 1.674 9.264
1.404 -1.674 9.264
1.404 1.674 -9.264
Be Zn Au S
1 1 2 1
Direct
0.000 0.000 0.000
0.107 0.607 0.500
0.304 0.804 0.500
0.698 0.198 0.500
0.440 0.940 0.500

=====

Entry Q
BeZnAu2S (PBE-GGA, relaxed); total magnetization = 0.00 μB per atom
1.0
2.936 -1.621 0.000
2.936 1.621 0.000
-2.907 0.000 8.992
Be Zn Au S
1 1 2 1
Direct
0.000 0.000 0.000
0.155 0.155 0.652
0.386 0.386 0.459
0.599 0.599 0.219
0.284 0.284 0.913

=====

The energy of each structure relative to the most stable one, in eV/atom, is as follows: entry P 0.231; entry Q 0.000.

=====

Entry P
BeZnAu2S (PBE-GGA, relaxed); total magnetization = 0.00 μB per atom
1.0
5.319 -1.596 0.000
5.319 1.596 0.000
-2.595 0.000 5.088
Be Zn Au S
1 1 2 1
Direct
0.000 0.000 0.000
0.398 0.398 0.473
0.114 0.114 0.738
0.681 0.681 0.353
0.394 0.394 0.037

=====

Entry Q
BeZnAu2S (PBE-GGA, relaxed); total magnetization = 0.00 μB per atom
1.0
1.666 0.962 8.942
-1.666 0.962 8.942
0.000 -1.924 8.942
Be Zn Au S
1 1 2 1
Direct
0.000 0.000 0.000
0.266 0.266 0.266
0.458 0.458 0.458
0.869 0.869 0.869
0.359 0.359 0.359

=====

Entry R
BeZnAu2S (PBE-GGA, relaxed); total magnetization = 0.00 μB per atom
1.0
4.921 -1.777 0.000
4.921 1.777 0.000
-4.906 0.000 5.962
Be Zn Au S
1 1 2 1
Direct
0.000 0.000 0.000
0.227 0.227 0.431
0.439 0.439 0.150
0.717 0.717 0.137
0.862 0.862 0.670

=====

The energy of each structure relative to the most stable one, in eV/atom, is as follows: entry P 0.000; entry Q 0.012; entry R 0.032.

=====

Entry P
BeZnAu2S (PBE-GGA, relaxed); total magnetization = 0.00 μB per atom
1.0
5.172 -1.656 0.000
5.172 1.656 0.000
-2.710 0.000 5.134
Be Zn Au S
1 1 2 1
Direct
0.000 0.000 0.000
0.504 0.504 0.385
0.207 0.207 0.410
0.794 0.794 0.082
0.488 0.488 0.785

=====

Entry Q
BeZnAu2S (PBE-GGA, relaxed); total magnetization = 0.00 μB per atom
1.0
5.772 -1.687 0.000
5.772 1.687 0.000
-2.041 0.000 5.093
Be Zn Au S
1 1 2 1
Direct
0.000 0.000 0.000
0.460 0.460 0.388
0.803 0.803 0.037
0.847 0.847 0.588
0.602 0.602 0.160

=====

The energy of each structure relative to the most stable one, in eV/atom, is as follows: entry P 0.000; entry Q 0.019.

=====

Entry P
BeZnAu2S (PBE-GGA, relaxed); total magnetization = 0.00 μB per atom
1.0
-1.682 1.842 7.494
1.682 -1.842 7.494
1.682 1.842 -7.494
Be Zn Au S
1 1 2 1
Direct
0.000 0.000 0.000
0.677 0.677 0.000
0.401 0.901 0.500
0.806 0.306 0.500
0.078 0.578 0.500

=====

Entry Q
BeZnAu2S (PBE-GGA, relaxed); total magnetization = 0.00 μB per atom
1.0
3.276 0.000 0.000
-0.163 4.526 0.000
-0.432 -1.561 5.577
Be Zn Au S
1 1 2 1
Direct
0.000 0.000 0.000
0.148 0.435 0.712
0.032 0.569 0.180
0.598 0.125 0.360
0.469 0.943 0.768

=====

The energy of each structure relative to the most stable one, in eV/atom, is as follows: entry P 0.000; entry Q 0.088.

=====

Entry P
BeZnAu2S (PBE-GGA, relaxed); total magnetization = 0.00 μB per atom
1.0
3.260 0.000 0.000
1.628 2.828 0.000
0.009 0.019 9.232
Be Zn Au S
1 1 2 1
Direct
0.000 0.000 0.000
0.667 0.672 0.210
0.334 0.337 0.410
0.667 0.669 0.645
0.667 0.667 0.925

=====

Entry Q
BeZnAu2S (PBE-GGA, relaxed); total magnetization = 0.00 μB per atom
1.0
3.315 0.000 0.000
0.763 5.482 0.000
0.962 2.519 4.875
Be Zn Au S
1 1 2 1
Direct
0.000 0.000 0.000
0.451 0.377 0.501
0.026 0.052 0.406
0.866 0.467 0.822
0.539 0.766 0.056

=====

Entry R
BeZnAu2S (PBE-GGA, relaxed); total magnetization = 0.00 μB per atom
1.0
3.227 0.000 0.000
-1.608 2.904 0.000
-0.001 -0.875 9.103
Be Zn Au S
1 1 2 1
Direct
0.000 0.000 0.000
0.619 0.243 0.654
0.262 0.529 0.460
0.545 0.094 0.218
0.658 0.317 0.913

=====

Entry S
BeZnAu2S (PBE-GGA, relaxed); total magnetization = 0.00 μB per atom
1.0
3.641 0.000 0.000
-0.672 5.033 0.000
-1.384 -1.681 5.178
Be Zn Au S
1 1 2 1
Direct
0.000 0.000 0.000
0.751 0.173 0.604
0.100 0.565 0.069
0.380 0.813 0.755
0.171 0.273 0.364

=====

The energy of each structure relative to the most stable one, in eV/atom, is as follows: entry P 0.101; entry Q 0.068; entry R 0.000; entry S 0.116.

=====

Entry P
BeSbAu2 (PBE-GGA, relaxed); total magnetization = 0.00 μB per atom
1.0
-2.035 2.035 4.395
2.035 -2.035 4.395
2.035 2.035 -4.395
Be Sb Au
1 1 2
Direct
0.000 0.000 0.000
0.500 0.500 0.000
0.250 0.750 0.500
0.750 0.250 0.500

=====

Entry Q
BeSbAu2 (PBE-GGA, relaxed); total magnetization = 0.00 μB per atom
1.0
0.000 3.341 3.341
3.341 0.000 3.341
3.341 3.341 0.000
Be Sb Au
1 1 2
Direct
0.000 0.000 0.000
0.250 0.250 0.250
0.500 0.500 0.500
0.750 0.750 0.750

=====

The energy of each structure relative to the most stable one, in eV/atom, is as follows: entry P 0.000; entry Q 0.116.

=====

Entry P
Be3SbAu (PBE-GGA, relaxed); total magnetization = 0.00 μB per atom
1.0
4.636 0.000 0.000
0.000 4.636 0.000
0.000 0.000 4.636
Be Sb Au
3 1 1
Direct
0.000 0.000 0.500
0.000 0.500 0.000
0.500 0.000 0.000
0.000 0.000 0.000
0.500 0.500 0.500

=====

Entry Q
Be3SbAu (PBE-GGA, relaxed); total magnetization = 0.00 μB per atom
1.0
4.424 0.000 0.000
0.000 4.424 0.000
0.000 0.000 4.424
Be Sb Au
3 1 1
Direct
0.000 0.000 0.500
0.000 0.500 0.000
0.500 0.000 0.000
0.500 0.500 0.500
0.000 0.000 0.000

=====

The energy of each structure relative to the most stable one, in eV/atom, is as follows: entry P 0.674; entry Q 0.000.

=====

Entry P
BeSb2TeAu (PBE-GGA, relaxed); total magnetization = 0.00 μB per atom
1.0
4.879 0.000 0.000
0.000 4.879 0.000
0.000 0.000 5.011
Be Sb Te Au
1 2 1 1
Direct
0.000 0.000 0.000
0.000 0.500 0.000
0.500 0.000 0.000
0.000 0.000 0.500
0.500 0.500 0.500

=====

Entry Q
BeSb2TeAu (PBE-GGA, relaxed); total magnetization = 0.00 μB per atom
1.0
5.381 0.000 0.000
0.000 5.381 0.000
0.000 0.000 5.484
Be Sb Te Au
1 2 1 1
Direct
0.000 0.000 0.000
0.000 0.500 0.500
0.500 0.000 0.500
0.500 0.500 0.000
0.500 0.500 0.500

=====

The energy of each structure relative to the most stable one, in eV/atom, is as follows: entry P 0.000; entry Q 0.545.

=====

Entry P
ScBeAu2 (PBE-GGA, relaxed); total magnetization = 0.00 μB per atom
1.0
1.901 1.098 5.716
-1.901 1.098 5.716
0.000 -2.195 5.716
Sc Be Au
1 1 2
Direct
0.000 0.000 0.000
0.500 0.500 0.500
0.227 0.227 0.227
0.773 0.773 0.773

=====

Entry Q
ScBeAu2 (PBE-GGA, relaxed); total magnetization = 0.00 μB per atom
1.0
-2.416 2.416 7.171
2.416 -2.416 7.171
2.416 2.416 -7.171
Sc Be Au
2 2 4
Direct
0.000 0.000 0.000
0.750 0.250 0.500
0.250 0.750 0.500
0.500 0.500 0.000
0.217 0.625 0.092
0.375 0.467 0.592
0.533 0.125 0.908
0.875 0.783 0.408

=====

The energy of each structure relative to the most stable one, in eV/atom, is as follows: entry P 0.000; entry Q 0.277.

=====

Entry P
ScBeAu2 (PBE-GGA, relaxed); total magnetization = 0.00 μB per atom
1.0
4.194 -2.017 0.000
4.194 2.017 0.000
-2.588 0.000 3.984
Sc Be Au
1 1 2
Direct
0.000 0.000 0.000
0.500 0.500 0.500
0.215 0.215 0.707
0.785 0.785 0.293

=====

Entry Q
ScBeAu2 (PBE-GGA, relaxed); total magnetization = 0.00 μB per atom
1.0
3.525 0.000 0.000
0.000 3.936 0.000
-1.741 0.000 5.002
Sc Be Au
1 1 2
Direct
0.000 0.000 0.000
0.396 0.500 0.787
0.282 0.000 0.563
0.634 0.500 0.268

=====

The energy of each structure relative to the most stable one, in eV/atom, is as follows: entry P 0.000; entry Q 0.038.

=====

Entry P
ScBeAu (PBE-GGA, relaxed); total magnetization = 0.00 μB per atom
1.0
0.000 3.116 3.116
3.116 0.000 3.116
3.116 3.116 0.000
Sc Be Au
1 1 1
Direct
0.000 0.000 0.000
0.250 0.250 0.250
0.750 0.750 0.750

=====

Entry Q
ScBeAu (PBE-GGA, relaxed); total magnetization = 0.00 μB per atom
1.0
4.158 0.000 0.000
-2.079 3.601 0.000
0.000 0.000 3.340
Sc Be Au
1 1 1
Direct
0.000 0.000 0.000
0.333 0.667 0.500
0.667 0.333 0.500

=====

The energy of each structure relative to the most stable one, in eV/atom, is as follows: entry P 0.734; entry Q 0.000.